Density functional theory data (PBE-GGA) for a relaxed KNiPb2 crystal.

a b c (Å): 4.790 4.790 9.358
angles (deg): 90.00 90.00 90.00
Space group I-4m2 (No. 119)
Symmetry-distinct sites (fractional):
K 0.000 0.000 0.000 (multiplicity 2)
Ni 0.000 0.500 0.750 (multiplicity 2)
Pb 0.000 0.000 0.500 (multiplicity 2)
Pb 0.000 0.500 0.250 (multiplicity 2)

Summary:
V	26.8	A^3/atom
total magnetization	0.000	μB per atom
formation enthalpy at 0 K	0.4307	eV per atom
mass density	7.92	g cm⁻³

Density functional theory data (PBE-GGA) for a relaxed DyHo2Hg2 crystal.

a b c (Å): 5.1310 5.1310 6.3458
angles (deg): 90.00 90.00 120.00
Space group P-3m1 (No. 164)
Symmetry-distinct sites (fractional):
Dy 0.0000 0.0000 0.0000 (multiplicity 1)
Ho 0.3333 0.6667 0.6598 (multiplicity 2)
Hg 0.3333 0.6667 0.1764 (multiplicity 2)

Summary:
V	28.9	A^3/atom
total magnetization	0.001	μB per atom
ΔE to the lowest computed polymorph	147	meV/atom
formation enthalpy at 0 K	-0.2398	eV per atom
mass density	10.26	g cm⁻³